Entry from the Alexandria database: a relaxed structure of NaPaSbAu (PBE).

Values from the calculation:
The calculation puts the total energy at -77.37 eV/cell. The calculation puts the uncorrected formation energy at -0.2821 eV per atom.

a b c (Å): 7.315 7.315 7.315
angles (deg): 90.00 90.00 90.00
Space group F-43m (No. 216)
One atom of each set of equivalent atoms:
Na 0.000 0.000 0.000 [4 per cell]
Pa 0.000 0.000 0.500 [4 per cell]
Sb 0.250 0.250 0.750 [4 per cell]
Au 0.250 0.250 0.250 [4 per cell]